DFT (PBE) results for crystalline Hf3InB at its relaxed geometry.

abc: 24.8685 5.8562 9.4861
angles: 90.00 163.19 90.00
Last column: nearest neighbours and their distance in Å.
Fractional coordinates of all 20 atoms:
In 0.0171 0.1564 0.4332  1 In 2.78, 5 Hf 2.88-3.05
In 0.4829 0.6564 0.0668  1 In 2.78, 5 Hf 2.88-3.05
In 0.9829 0.8436 0.5668  1 In 2.78, 5 Hf 2.88-3.05
In 0.5171 0.3436 0.9332  1 In 2.78, 5 Hf 2.88-3.05
Hf 0.1467 0.9191 0.2553  2 B 2.33-2.37
Hf 0.1041 0.3762 0.9584  1 B 2.31
Hf 0.8533 0.0809 0.7447  2 B 2.33-2.37
Hf 0.2017 0.4135 0.5497  3 B 2.34-2.38
Hf 0.7017 0.0865 0.0497  3 B 2.34-2.38
Hf 0.8959 0.6238 0.0416  1 B 2.31
Hf 0.3959 0.8762 0.5416  1 B 2.31
Hf 0.6041 0.1238 0.4584  1 B 2.31
Hf 0.7983 0.5865 0.4503  3 B 2.34-2.38
Hf 0.6467 0.5809 0.7553  2 B 2.33-2.37
Hf 0.2983 0.9135 0.9503  3 B 2.34-2.38
Hf 0.3533 0.4191 0.2447  2 B 2.33-2.37
B 0.9692 0.2499 0.8259  6 Hf 2.31-2.38
B 0.0308 0.7501 0.1741  6 Hf 2.31-2.38
B 0.5308 0.7499 0.6741  6 Hf 2.31-2.38
B 0.4692 0.2501 0.3259  6 Hf 2.31-2.38

E = -8.0610 eV/atom
formation energy from the elements = -1.03 eV/f.u.
density of states at the Fermi level = 0.632 states/eV per atom

---

DFT (PBE) results for crystalline HfInB2 at its relaxed geometry.

abc: 6.2696 6.2696 5.4104
angles: 54.59 54.59 90.00
Last column: nearest neighbours and their distance in Å.
Fractional coordinates of all 8 atoms:
B 0.1310 0.6250 0.2500  2 In 2.32, 2 Hf 2.37
B 0.6190 0.1250 0.2500  2 In 2.32, 2 Hf 2.37
B 0.8750 0.8690 0.7500  2 In 2.32, 2 Hf 2.37
B 0.3750 0.3810 0.7500  2 In 2.32, 2 Hf 2.37
In 0.5000 0.5000 0.0000  4 B 2.32
In 0.2500 0.7500 0.5000  4 B 2.32
Hf 0.0000 0.0000 0.0000  4 B 2.37
Hf 0.7500 0.2500 0.5000  4 B 2.37

E = -5.8662 eV/atom
formation energy from the elements = 2.58 eV/f.u.
density of states at the Fermi level = 0.642 states/eV per atom

---

DFT (PBE) results for crystalline HfInB3 at its relaxed geometry.

abc: 4.4826 4.4826 4.4826
angles: 90.00 90.00 90.00
Last column: nearest neighbours and their distance in Å.
Fractional coordinates of all 5 atoms:
B 0.0000 0.5000 0.0000  2 Hf 2.24
B 0.0000 0.0000 0.5000  2 Hf 2.24
B 0.5000 0.0000 0.0000  2 Hf 2.24
Hf 0.0000 0.0000 0.0000  6 B 2.24
In 0.5000 0.5000 0.5000  12 B 3.17

E = -4.9611 eV/atom
formation energy from the elements = 7.92 eV/f.u.
density of states at the Fermi level = 0.783 states/eV per atom
ΔE to the lowest computed polymorph = 0 meV/atom

---

DFT (PBE) results for crystalline Hf3InB at its relaxed geometry.

abc: 5.2715 6.4631 6.4632
angles: 120.00 90.00 90.00
Last column: nearest neighbours and their distance in Å.
Fractional coordinates of all 10 atoms:
Hf 0.9182 0.6766 0.1658  2 B 2.32
Hf 0.4183 0.5059 0.3363  2 B 2.32
Hf 0.4183 0.5061 0.8246  2 B 2.32
Hf 0.9183 0.1649 0.6538  2 B 2.32
Hf 0.4183 0.9941 0.8243  2 B 2.32
Hf 0.9183 0.1646 0.1655  2 B 2.32
B 0.6683 0.3354 0.9951  6 Hf 2.32
B 0.1683 0.3354 0.9951  6 Hf 2.32
In 0.9183 0.6687 0.6617  12 Hf 3.20-3.23
In 0.4183 0.0021 0.3284  12 Hf 3.20-3.23

E = -8.2272 eV/atom
formation energy from the elements = -1.86 eV/f.u.
density of states at the Fermi level = 0.611 states/eV per atom

---

DFT (PBE) results for crystalline Hf3InB at its relaxed geometry.

abc: 8.1416 8.1416 8.1416
angles: 41.69 41.69 41.69
Last column: nearest neighbours and their distance in Å.
Fractional coordinates of all 10 atoms:
Hf 0.5507 0.8981 0.2244  2 B 2.30-2.33
Hf 0.4493 0.1019 0.7756  2 B 2.30-2.33
Hf 0.2244 0.5507 0.8981  2 B 2.30-2.33
Hf 0.1019 0.7756 0.4493  2 B 2.30-2.33
Hf 0.7756 0.4493 0.1019  2 B 2.30-2.33
Hf 0.8981 0.2244 0.5507  2 B 2.30-2.33
B 0.8368 0.8368 0.8368  6 Hf 2.30-2.33
B 0.1632 0.1632 0.1632  6 Hf 2.30-2.33
In 0.3352 0.3352 0.3352  6 Hf 3.08-3.11, 3 In 3.35
In 0.6648 0.6648 0.6648  6 Hf 3.08-3.11, 3 In 3.35

E = -7.9930 eV/atom
formation energy from the elements = -0.69 eV/f.u.
density of states at the Fermi level = 0.444 states/eV per atom

---

DFT (PBE) results for crystalline Hf3InB at its relaxed geometry.

abc: 5.4743 6.2730 6.0692
angles: 73.70 101.83 89.96
Last column: nearest neighbours and their distance in Å.
Fractional coordinates of all 10 atoms:
In 0.3505 0.9160 0.3838  10 Hf 2.97-3.31
In 0.9861 0.7547 0.9355  10 Hf 2.97-3.31
B 0.6683 0.3354 0.6597  6 Hf 2.29-2.35
B 0.1683 0.3354 0.6597  6 Hf 2.32-2.40
Hf 0.4788 0.0428 0.8874  2 B 2.35-2.40
Hf 0.4621 0.5481 0.8293  2 B 2.32-2.35
Hf 0.9884 0.2521 0.9851  2 B 2.29-2.32
Hf 0.3482 0.4186 0.3343  2 B 2.29-2.32
Hf 0.8578 0.6279 0.4320  2 B 2.35-2.40
Hf 0.8745 0.1226 0.4901  2 B 2.32-2.35

E = -8.0753 eV/atom
formation energy from the elements = -1.10 eV/f.u.
density of states at the Fermi level = 0.731 states/eV per atom

---

DFT (PBE) results for crystalline Hf3InB at its relaxed geometry.

abc: 5.5448 5.5448 8.3265
angles: 70.55 70.55 90.00
Last column: nearest neighbours and their distance in Å.
Fractional coordinates of all 10 atoms:
Hf 0.1166 0.8583 0.7667  2 B 2.23-2.37
Hf 0.1166 0.3750 0.7667  2 B 2.23-2.37
Hf 0.6250 0.8834 0.2333  2 B 2.23-2.37
Hf 0.2964 0.2964 0.4072  2 B 2.86, 2 Hf 3.00, 2 In 3.07
Hf 0.1417 0.8834 0.2333  2 B 2.23-2.37
Hf 0.7036 0.7036 0.5928  2 B 2.86, 2 Hf 3.00, 2 In 3.07
In 0.6131 0.1131 0.7737  6 Hf 3.07-3.12, 2 B 3.23
In 0.8869 0.3869 0.2263  6 Hf 3.07-3.12, 2 B 3.23
B 0.0000 0.0000 0.0000  4 Hf 2.23
B 0.2500 0.7500 0.5000  4 Hf 2.37

E = -7.4483 eV/atom
formation energy from the elements = 2.03 eV/f.u.
density of states at the Fermi level = 0.694 states/eV per atom

---

DFT (PBE) results for crystalline Hf3InB at its relaxed geometry.

abc: 5.7651 5.7651 5.7651
angles: 91.66 91.66 91.66
Last column: nearest neighbours and their distance in Å.
Fractional coordinates of all 10 atoms:
B 0.2500 0.2500 0.2500  3 Hf 2.28, 2 In 2.42
B 0.7500 0.7500 0.7500  3 Hf 2.28, 2 In 2.42
In 0.5000 0.5000 0.5000  2 B 2.42
In 0.0000 0.0000 0.0000  2 B 2.42
Hf 0.0251 0.4749 0.7500  1 B 2.28
Hf 0.7500 0.0251 0.4749  1 B 2.28
Hf 0.5251 0.2500 0.9749  1 B 2.28
Hf 0.2500 0.9749 0.5251  1 B 2.28
Hf 0.9749 0.5251 0.2500  1 B 2.28
Hf 0.4749 0.7500 0.0251  1 B 2.28

E = -7.7246 eV/atom
formation energy from the elements = 0.65 eV/f.u.
density of states at the Fermi level = 0.692 states/eV per atom